# 1
{
  "formula": "TbDyNiIr",
  "functional": "PBE",
  "state": "optimized geometry",
  "lattice_angstrom": [[0.000, 3.416, 3.416], [3.416, 0.000, 3.416], [3.416, 3.416, 0.000]],
  "species": ["Tb", "Dy", "Ni", "Ir"],
  "frac_coords": [[0.000, 0.000, 0.000], [0.500, 0.500, 0.500], [0.250, 0.250, 0.250], [0.750, 0.750, 0.750]],
  "e_above_lowest_polymorph_mev_per_atom": 19,
  "final_energy_ev_per_atom": -6.602
}



# 2
{
  "formula": "TbDyNiIr",
  "functional": "PBE",
  "state": "optimized geometry",
  "lattice_angstrom": [[4.130, 0.000, 0.000], [0.000, 1.937, 5.250], [0.000, -1.937, 5.250]],
  "species": ["Tb", "Dy", "Ni", "Ir"],
  "frac_coords": [[0.000, 0.000, 0.000], [0.500, 0.715, 0.715], [0.000, 0.281, 0.281], [0.500, 0.431, 0.431]],
  "e_above_lowest_polymorph_mev_per_atom": 0,
  "final_energy_ev_per_atom": -6.621
}



# 3
{
  "formula": "DyThNiIr",
  "functional": "PBE",
  "state": "optimized geometry",
  "lattice_angstrom": [[4.432, 0.000, 0.000], [0.000, 1.889, 5.175], [0.000, -1.889, 5.175]],
  "species": ["Dy", "Th", "Ni", "Ir"],
  "frac_coords": [[0.000, 0.000, 0.000], [0.500, 0.276, 0.276], [0.000, 0.722, 0.722], [0.500, 0.555, 0.555]],
  "e_above_lowest_polymorph_mev_per_atom": 0,
  "final_energy_ev_per_atom": -7.365
}